(1)
Ba2SrSe PBE-GGA optimized geometry; E = -2.574 eV per atom; E_form (uncorrected) = -0.321 eV/atom; relative energy among the computed polymorphs = 0.605 eV/atom
1.0
-0.646 -5.957 -1.671
-5.583 -2.173 -1.675
-1.114 -1.460 -5.943
Ba Sr Se
2 1 1
Direct
0.750 0.750 0.750
0.250 0.250 0.250
0.500 0.500 0.500
0.000 0.000 0.000

***

(2)
Nd3HoSn3 PBE-GGA optimized geometry; E = -4.849 eV per atom; energy of formation = -437 meV per atom
1.0
6.304 0.000 0.000
0.000 9.603 0.000
0.000 -4.802 8.317
Sn Nd Ho
6 6 2
Direct
0.750 0.650 0.987
0.250 0.664 0.650
0.750 0.336 0.350
0.250 0.350 0.013
0.750 0.013 0.664
0.250 0.987 0.336
0.250 0.665 0.972
0.750 0.972 0.307
0.250 0.307 0.335
0.750 0.335 0.028
0.750 0.693 0.665
0.250 0.028 0.693
0.250 0.667 0.333
0.750 0.333 0.667

***

(3)
ThScPb2 PBE-GGA optimized geometry; E = -5.504 eV per atom; energy of formation = -212 meV per atom
1.0
3.542 0.000 0.000
1.771 3.068 0.000
1.771 1.023 10.296
Pb Th Sc
2 1 1
Direct
0.744 0.744 0.769
0.256 0.256 0.231
0.500 0.500 0.500
0.000 0.000 0.000

***

(4)
MgSc2TiO6 PBE-GGA optimized geometry; E = -8.125 eV per atom; E_form (uncorrected) = -2.935 eV/atom
1.0
4.919 0.000 0.000
0.000 5.046 0.000
0.000 0.000 5.046
O Sc Ti Mg
6 2 1 1
Direct
0.742 0.245 0.755
0.742 0.755 0.755
0.175 0.500 0.500
0.742 0.755 0.245
0.219 0.000 0.000
0.742 0.245 0.245
0.966 0.500 0.000
0.966 0.000 0.500
0.586 0.000 0.000
0.568 0.500 0.500

***

Copy entry 4 word for word.
MgSc2TiO6 PBE-GGA optimized geometry; E = -8.125 eV per atom; E_form (uncorrected) = -2.935 eV/atom
1.0
4.919 0.000 0.000
0.000 5.046 0.000
0.000 0.000 5.046
O Sc Ti Mg
6 2 1 1
Direct
0.742 0.245 0.755
0.742 0.755 0.755
0.175 0.500 0.500
0.742 0.755 0.245
0.219 0.000 0.000
0.742 0.245 0.245
0.966 0.500 0.000
0.966 0.000 0.500
0.586 0.000 0.000
0.568 0.500 0.500